(1)
Below is a geometry-optimized Pr4Dy2YHo2 structure, with properties calculated at the PBE level.

Lattice parameters (Å, degrees): 15.3842 5.1183 8.0878 90.00 108.47 90.00
With the nearest neighbours (Å) after each atom.
Space group C2/m (No. 12)
One atom of each set of equivalent atoms:
1 Pr 0.0539 0.0000 0.3318 x4  4 Dy 3.61-3.64, 4 Pr 3.61-3.65, 2 Ho 3.61-3.64, 2 Y 3.61
2 Pr 0.2231 0.5000 0.3314 x4  3 Ho 3.58-3.61, 3 Dy 3.61-3.66, 1 Y 3.62, 5 Pr 3.64-3.65
3 Dy 0.1116 0.5000 0.6699 x4  3 Ho 3.59-3.60, 1 Y 3.60, 7 Pr 3.61-3.66, 1 Dy 3.66
4 Y 0.0000 0.5000 0.0000 x2  2 Dy 3.60, 6 Pr 3.61-3.62, 4 Ho 3.64
5 Ho 0.1677 0.0000 0.9995 x4  5 Pr 3.58-3.64, 3 Dy 3.59-3.60, 2 Ho 3.60, 2 Y 3.64

Output
- energy of formation from the pure elements (eV/atom) = 0.02

(2)
Below is a geometry-optimized Tc4Ir structure, with properties calculated at the PBE level.

Lattice parameters (Å, degrees): 4.6512 4.6512 4.6512 90.00 90.00 90.00
With the nearest neighbours (Å) after each atom.
Space group Pm-3m (No. 221)
One atom of each set of equivalent atoms:
1 Tc 0.0000 0.0000 0.0000 x1  12 Tc 3.29
2 Tc 0.0000 0.5000 0.5000 x3  2 Ir 2.33
3 Ir 0.5000 0.5000 0.5000 x1  6 Tc 2.33

Output
- distance to the lowest polymorph of the same formula (meV/atom) = 2070.6
- energy of formation from the pure elements (eV/atom) = 2.03

(3)
Below is a geometry-optimized Li2Mg2InHg2 structure, with properties calculated at the PBE level.

Lattice parameters (Å, degrees): 4.8494 4.8494 21.1050 90.00 90.00 120.00
With the nearest neighbours (Å) after each atom.
Space group R-3m (No. 166, hexagonal axes)
One atom of each set of equivalent atoms:
1 Li 0.0000 0.0000 0.0662 x6  1 Li 2.80, 3 Hg 2.94, 3 Mg 2.98
2 Mg 0.0000 0.0000 0.2181 x6  1 Hg 2.94, 4 Li 2.98-3.20, 3 In 3.00
3 In 0.0000 0.0000 0.5000 x3  6 Mg 3.00, 2 Hg 3.01
4 Hg 0.0000 0.0000 0.3574 x6  3 Li 2.94, 1 Mg 2.94, 3 Hg 2.98, 1 In 3.01

Output
- energy of formation from the pure elements (eV/atom) = -0.19

(4)
Below is a geometry-optimized Ca2La6CoIr structure, with properties calculated at the PBE level.

Lattice parameters (Å, degrees): 11.2877 11.3219 7.9824 90.00 134.89 90.00
With the nearest neighbours (Å) after each atom.
Space group C2/m (No. 12)
One atom of each set of equivalent atoms:
1 Ca 0.0000 0.2500 0.0000 x4  12 La 3.99-4.00
2 La 0.0000 0.2462 0.5000 x4  1 Co 2.79, 1 Ir 2.87
3 La 0.2435 0.0000 0.4996 x4  1 Co 2.75, 1 Ir 2.89
4 La 0.2452 0.0000 0.9907 x4  1 Co 2.77, 1 Ir 2.88
5 Co 0.0000 0.0000 0.5000 x2  6 La 2.75-2.79
6 Ir 0.0000 0.5000 0.5000 x2  6 La 2.87-2.89

Output
- energy of formation from the pure elements (eV/atom) = -0.19

(5)
Below is a geometry-optimized SrSN2 structure, with properties calculated at the PBE level.

Lattice parameters (Å, degrees): 6.0843 6.0843 6.0843 90.00 90.00 90.00
With the nearest neighbours (Å) after each atom.
Space group Fm-3m (No. 225)
One atom of each set of equivalent atoms:
1 Sr 0.0000 0.0000 0.0000 x4  8 N 2.63
2 S 0.0000 0.0000 0.5000 x4  8 N 2.63
3 N 0.2500 0.2500 0.2500 x8  4 S 2.63, 4 Sr 2.63

Output
- distance to the lowest polymorph of the same formula (meV/atom) = 1090.2
- raw formation energy (eV/atom) = 1.20

(6)
Below is a geometry-optimized Tb3SmS4 structure, with properties calculated at the PBE level.

Lattice parameters (Å, degrees): 5.5846 5.5846 5.5846 90.00 90.00 90.00
With the nearest neighbours (Å) after each atom.
Space group Pm-3m (No. 221)
One atom of each set of equivalent atoms:
1 Tb 0.0000 0.0000 0.5000 x3  6 S 2.79
2 Sm 0.5000 0.5000 0.5000 x1  6 S 2.79
3 S 0.0000 0.0000 0.0000 x1  6 Tb 2.79
4 S 0.0000 0.5000 0.5000 x3  2 Sm 2.79, 4 Tb 2.79

Output
- distance to the lowest polymorph of the same formula (meV/atom) = 11.7
- raw formation energy (eV/atom) = -2.00

(7)
Below is a geometry-optimized NdZnHg2 structure, with properties calculated at the PBE level.

Lattice parameters (Å, degrees): 8.8438 9.3916 4.9899 90.00 90.00 90.00
With the nearest neighbours (Å) after each atom.
Space group Cmcm (No. 63)
One atom of each set of equivalent atoms:
1 Nd 0.0000 0.1721 0.2500 x4  8 Hg 3.18-3.32, 2 Zn 3.32
2 Zn 0.0000 0.5000 0.0000 x4  2 Zn 2.49
3 Hg 0.2203 0.1147 0.7500 x8  2 Zn 2.97, 4 Nd 3.18-3.32, 2 Hg 3.30

Output
- energy of formation from the pure elements (eV/atom) = -0.21

(8)
Below is a geometry-optimized K2Ag4S3 structure, with properties calculated at the PBE level.

Lattice parameters (Å, degrees): 17.7608 4.2915 11.6991 90.00 108.42 90.00
With the nearest neighbours (Å) after each atom.
Space group C2/m (No. 12)
One atom of each set of equivalent atoms:
1 K 0.1678 0.0000 0.3404 x4  6 S 3.14-3.39
2 K 0.1860 0.5000 0.8416 x4  6 S 3.34-3.36, 5 Ag 3.63-3.68
3 Ag 0.0146 0.5000 0.3787 x4  3 S 2.51-2.75
4 Ag 0.0229 0.5000 0.1332 x4  3 S 2.55-2.73
5 Ag 0.0902 0.0000 0.5863 x4  3 S 2.49-2.70
6 Ag 0.0931 0.0000 0.0101 x4  3 S 2.57-2.62
7 S 0.0329 0.0000 0.7743 x4  6 Ag 2.62-2.75
8 S 0.1466 0.5000 0.5418 x4  3 Ag 2.49-2.51
9 S 0.1616 0.5000 0.1131 x4  3 Ag 2.55-2.57

Output
- raw formation energy (eV/atom) = -0.48